[1]
7
Lattice="-2.727 2.662 1.704 -4.908 -1.353 -5.740 -0.465 -6.031 3.564" Properties=species:S:1:pos:R:3 comment="Pm2Y2Ge3 (PBE, optimized geometry)" ef_ev_per_fu=-4.38 n_ef_per_ev_atom=0.503 pbc="T T T"
Pm -2.239 -1.731 -0.879
Pm -5.860 -2.990 0.407
Ge -4.471 -3.191 -2.170
Ge 0.000 0.000 0.000
Ge -3.629 -1.531 1.698
Y -6.271 -1.125 -3.165
Y -1.829 -3.597 2.693

[2]
4
Lattice="-2.628 2.407 -2.527 -1.968 -3.321 -1.116 -2.122 -0.571 5.440" Properties=species:S:1:pos:R:3 comment="PmYGe2 (PBE, optimized geometry)" ef_ev_per_fu=-3.50 n_ef_per_ev_atom=0.684 pbc="T T T"
Y -3.971 1.174 3.509
Ge -3.770 2.100 0.401
Ge -3.274 -1.757 3.769
Pm -3.060 -0.834 0.644

[3]
4
Lattice="-0.182 0.490 -4.648 -0.440 -3.770 -2.734 -5.516 -0.658 -2.207" Properties=species:S:1:pos:R:3 comment="PmYGe2 (PBE, optimized geometry)" ef_ev_per_fu=-2.80 n_ef_per_ev_atom=0.611 pbc="T T T"
Y 0.000 0.000 0.000
Pm -3.069 -1.969 -4.795
Ge -4.679 -2.947 -7.189
Ge -1.459 -0.990 -2.401

[4]
10
Lattice="4.380 0.000 0.000 0.000 7.698 0.000 0.000 0.000 7.698" Properties=species:S:1:pos:R:3 comment="Pm2YGe2 (PBE, optimized geometry)" relative_energy_mev_per_atom=0 ef_ev_per_fu=-3.99 n_ef_per_ev_atom=0.944 pbc="T T T"
Y 0.000 0.000 0.000
Y 0.000 3.849 3.849
Ge 0.000 4.794 0.945
Ge 0.000 6.753 4.794
Ge 0.000 0.945 2.904
Ge 0.000 2.904 6.753
Pm 2.190 2.510 1.339
Pm 2.190 5.188 6.358
Pm 2.190 1.339 5.188
Pm 2.190 6.358 2.510

[5]
6
Lattice="5.679 0.000 0.000 2.840 4.918 0.000 2.840 1.639 4.637" Properties=species:S:1:pos:R:3 comment="PmYGe4 (PBE, optimized geometry)" ef_ev_per_fu=-2.03 n_ef_per_ev_atom=1.278 pbc="T T T"
Pm 0.000 0.000 0.000
Y 2.840 1.639 1.159
Ge 4.270 4.092 2.894
Ge 7.088 4.092 2.894
Ge 5.679 1.652 2.894
Ge 5.679 3.279 0.593

[6]
10
Lattice="4.508 0.000 0.000 0.000 6.317 0.000 -2.254 0.000 9.273" Properties=species:S:1:pos:R:3 comment="PmY2Ge2 (PBE, optimized geometry)" ef_ev_per_fu=-3.44 n_ef_per_ev_atom=0.537 pbc="T T T"
Ge 2.254 3.270 1.306
Ge 2.254 3.471 5.459
Ge 0.000 0.112 7.966
Ge 0.000 0.313 3.814
Pm 0.000 3.189 7.179
Pm 2.254 0.031 2.093
Y 2.254 4.823 9.133
Y 0.000 1.665 0.140
Y 2.254 0.189 5.820
Y 0.000 3.347 3.453

[7]
17
Lattice="-0.392 8.696 2.830 0.727 -5.538 7.252 7.281 -1.116 -5.433" Properties=species:S:1:pos:R:3 comment="Pm12YGe4 (PBE, optimized geometry)" ef_ev_per_fu=-1.49 n_ef_per_ev_atom=1.848 pbc="T T T"
Pm 2.306 3.006 0.843
Pm 1.455 -0.086 3.597
Pm 4.696 5.636 -0.060
Pm 5.311 -0.964 3.805
Pm 3.844 2.942 4.491
Pm 6.162 2.129 1.050
Pm 3.772 -0.900 0.156
Pm 1.571 1.009 7.094
Pm 2.921 -3.593 4.708
Pm 1.066 5.250 3.861
Pm 6.046 1.033 -2.447
Pm 6.550 -3.208 0.787
Y 0.000 0.000 0.000
Ge 3.641 -0.558 -2.717
Ge 3.808 1.021 2.324
Ge -0.196 4.348 1.415
Ge 0.363 -2.769 3.626

[8]
18
Lattice="6.525 0.000 0.000 0.000 9.146 0.000 0.000 -4.573 7.920" Properties=species:S:1:pos:R:3 comment="Pm5YGe3 (PBE, optimized geometry)" ef_ev_per_fu=-4.67 n_ef_per_ev_atom=1.011 pbc="T T T"
Y 3.262 0.000 0.000
Y 0.000 0.000 0.000
Pm 3.262 0.000 5.280
Pm 4.893 3.047 0.000
Pm 3.262 4.573 2.640
Pm 4.893 7.622 2.638
Pm 1.631 1.524 2.638
Pm 0.000 4.573 2.640
Pm 1.631 -3.049 5.281
Pm 4.893 3.049 5.281
Pm 0.000 0.000 5.280
Pm 1.631 6.099 0.000
Ge 4.893 1.514 2.622
Ge 1.631 -1.514 2.622
Ge 1.631 3.059 5.297
Ge 1.631 3.029 0.000
Ge 4.893 6.117 0.000
Ge 4.893 6.087 5.297

[9]
8
Lattice="-3.416 1.425 1.843 -1.664 -4.833 -3.980 1.195 -6.155 6.974" Properties=species:S:1:pos:R:3 comment="Pm2YGe (PBE, optimized geometry)" relative_energy_mev_per_atom=0 ef_ev_per_fu=-1.78 n_ef_per_ev_atom=1.373 pbc="T T T"
Y -4.303 -4.363 0.040
Y 0.418 -5.200 4.797
Ge -2.446 -5.899 4.671
Ge -1.438 -3.663 0.166
Pm -1.728 -6.362 1.720
Pm -2.614 -0.839 0.441
Pm -2.156 -3.200 3.117
Pm -1.270 -8.724 4.396

[10]
7
Lattice="3.940 0.000 -0.898 -0.222 4.177 -0.976 0.128 0.053 9.653" Properties=species:S:1:pos:R:3 comment="PmY2Ge4 (PBE, optimized geometry)" ef_ev_per_fu=-5.37 n_ef_per_ev_atom=0.354 pbc="T T T"
Pm 1.970 0.000 -0.449
Ge 2.491 2.770 1.836
Ge 0.157 2.378 0.689
Ge 1.355 1.460 5.942
Ge 3.689 1.853 7.089
Y 3.125 3.453 4.616
Y 0.721 0.777 3.163

[11]
10
Lattice="5.071 0.000 0.000 0.000 6.489 -2.612 -2.535 -3.479 9.864" Properties=species:S:1:pos:R:3 comment="Pm5YGe4 (PBE, optimized geometry)" ef_ev_per_fu=-6.33 n_ef_per_ev_atom=0.580 pbc="T T T"
Ge 2.535 -0.550 3.216
Ge 0.000 3.560 4.036
Ge 2.535 1.371 7.756
Ge 0.000 1.639 -0.504
Pm 2.535 2.059 4.835
Pm 0.000 4.266 1.069
Pm 2.535 3.245 -1.306
Pm 0.000 0.951 2.417
Pm 2.535 -1.255 6.183
Y 2.535 0.000 0.000

[12]
4
Lattice="3.862 0.000 0.000 1.931 3.345 0.000 1.931 1.115 9.826" Properties=species:S:1:pos:R:3 comment="Pm2YGe (PBE, optimized geometry)" relative_energy_mev_per_atom=226 ef_ev_per_fu=-0.88 n_ef_per_ev_atom=1.388 pbc="T T T"
Ge 3.862 2.230 0.010
Pm 1.931 1.115 1.946
Pm 1.931 1.115 7.884
Y 3.862 2.230 4.900

Which formula does entry 9 have?
Pm2YGe